# Pm12InPb6 (GGA-PBE, optimized geometry)
data_Pm12InPb6
_symmetry_space_group_name_H-M 'P 1'
_symmetry_Int_Tables_number 1
_cell_length_a 9.102
_cell_length_b 9.102
_cell_length_c 9.102
_cell_angle_alpha 100.64
_cell_angle_beta 100.64
_cell_angle_gamma 100.64
loop_
_symmetry_equiv_pos_as_xyz
'x,y,z'
loop_
_atom_site_label
_atom_site_type_symbol
_atom_site_fract_x
_atom_site_fract_y
_atom_site_fract_z
Pm1 Pm 0.046 0.945 0.670
Pm2 Pm 0.055 0.330 0.954
Pm3 Pm 0.192 0.556 0.415
Pm4 Pm 0.330 0.954 0.055
Pm5 Pm 0.415 0.192 0.556
Pm6 Pm 0.444 0.585 0.808
Pm7 Pm 0.556 0.415 0.192
Pm8 Pm 0.585 0.808 0.444
Pm9 Pm 0.670 0.046 0.945
Pm10 Pm 0.808 0.444 0.585
Pm11 Pm 0.945 0.670 0.046
Pm12 Pm 0.954 0.055 0.330
In1 In 0.000 0.000 0.000
Pb1 Pb 0.125 0.316 0.624
Pb2 Pb 0.316 0.624 0.125
Pb3 Pb 0.376 0.875 0.684
Pb4 Pb 0.624 0.125 0.316
Pb5 Pb 0.684 0.376 0.875
Pb6 Pb 0.875 0.684 0.376
# calculated formation energy	-214	meV per atom